Compound: Tc3SF
Source: Alexandria
Functional: PBE-GGA
Structure: optimized geometry

It has space group Pm-3m (No. 221), with a = 4.368 Å, b = 4.368 Å, c = 4.368 Å, α = 90.00°, β = 90.00° and γ = 90.00°. The distinct sites, in fractional coordinates, are Tc at (0.000, 0.000, 0.500), S at (0.000, 0.000, 0.000) and F at (0.500, 0.500, 0.500).

For the excess energy over the best structure of this formula in the dataset, the calculation gives 0.000 eV per atom. The total magnetization comes out at 0.001 μB/f.u. The uncorrected energy is -6.585 eV/atom.